Version 1
Here is a geometry-optimized LuThZr structure from Alexandria. Energies are from PBE.

Results
- Size of the total moment: 0.00 Bohr magnetons per cell

Structure (CIF):
```
data_LuThZr
_cell_length_a 3.3653
_cell_length_b 3.3653
_cell_length_c 14.8930
_cell_angle_alpha 90.00
_cell_angle_beta 90.00
_cell_angle_gamma 90.00
_symmetry_space_group_name_H-M 'I 4 m m'
_symmetry_Int_Tables_number 107
_symmetry_space_group_name_Hall 'I 4 -2'
loop_
_atom_site_label
_atom_site_fract_x
_atom_site_fract_y
_atom_site_fract_z
_atom_site_occupancy
Lu1 0.0000 0.0000 0.0000 1
Th1 0.0000 0.0000 0.6811 1
Zr1 0.0000 0.0000 0.3449 1
```



Version 2
Here is a geometry-optimized LuThZr structure from Alexandria. Energies are from PBE.

Results
- Size of the total moment: 0.00 Bohr magnetons per cell

Structure (CIF):
```
data_LuThZr
_cell_length_a 5.3748
_cell_length_b 5.3748
_cell_length_c 3.4078
_cell_angle_alpha 90.00
_cell_angle_beta 90.00
_cell_angle_gamma 120.00
_symmetry_space_group_name_H-M 'P -6 m 2'
_symmetry_Int_Tables_number 187
_symmetry_space_group_name_Hall 'P -6 2'
loop_
_atom_site_label
_atom_site_fract_x
_atom_site_fract_y
_atom_site_fract_z
_atom_site_occupancy
Lu1 0.0000 0.0000 0.0000 1
Th1 0.6667 0.3333 0.5000 1
Zr1 0.3333 0.6667 0.0000 1
```



Energies relative to the most stable structure are version 1 0.0; version 2 1.2, reported in kJ/mol of atoms.